(1)
GdTmHf | PBE | relaxed

As for the formation energy: 0.857 eV/atom. As for the energy above the most stable polymorph in this dataset: 0 meV/atom.

The space group is F-43m (No. 216) and the conventional cell measures 7.3087, 7.3087 and 7.3087 Å, with angles of 90.00, 90.00 and 90.00 degrees. The inequivalent atoms are Gd at (0.0000, 0.0000, 0.0000), Tm at (0.0000, 0.0000, 0.5000) and Hf at (0.2500, 0.2500, 0.2500).

=====

(2)
GdHfW | PBE | relaxed

As for the formation energy: 1.630 eV/atom.

The space group is F-43m (No. 216) and the conventional cell measures 6.6363, 6.6363 and 6.6363 Å, with angles of 90.00, 90.00 and 90.00 degrees. The inequivalent atoms are Gd at (0.0000, 0.0000, 0.0000), Hf at (0.2500, 0.2500, 0.7500) and W at (0.2500, 0.2500, 0.2500).

=====

(3)
GdYHf | PBE | relaxed

As for the formation energy: 0.865 eV/atom. As for the energy above the most stable polymorph in this dataset: 0 meV/atom.

The space group is F-43m (No. 216) and the conventional cell measures 7.3543, 7.3543 and 7.3543 Å, with angles of 90.00, 90.00 and 90.00 degrees. The inequivalent atoms are Gd at (0.0000, 0.0000, 0.0000), Y at (0.0000, 0.0000, 0.5000) and Hf at (0.2500, 0.2500, 0.2500).

=====

(4)
GdHfZr | PBE | relaxed

As for the formation energy: 0.903 eV/atom. As for the energy above the most stable polymorph in this dataset: 0 meV/atom.

The space group is F-43m (No. 216) and the conventional cell measures 7.0589, 7.0589 and 7.0589 Å, with angles of 90.00, 90.00 and 90.00 degrees. The inequivalent atoms are Gd at (0.0000, 0.0000, 0.0000), Hf at (0.2500, 0.2500, 0.2500) and Zr at (0.0000, 0.0000, 0.5000).

=====

(5)
GdHg3 | PBE | relaxed

As for the formation energy: -0.367 eV/atom.

The space group is Amm2 (No. 38) and the conventional cell measures 4.9863, 6.6099 and 11.5709 Å, with angles of 90.00, 90.00 and 90.00 degrees. The inequivalent atoms are Gd at (0.0000, 0.0000, 0.0000), Gd at (0.5000, 0.0000, 0.3363), Hg at (0.0000, 0.0000, 0.5016), Hg at (0.0000, 0.2504, 0.2497), Hg at (0.5000, 0.0000, 0.8359) and Hg at (0.5000, 0.2489, 0.5870).

=====

(6)
GdHg3 | PBE | relaxed

As for the formation energy: -0.364 eV/atom.

The space group is P6_3/mmc (No. 194) and the conventional cell measures 6.6288, 6.6288 and 4.9625 Å, with angles of 90.00, 90.00 and 120.00 degrees. The inequivalent atoms are Gd at (0.3333, 0.6667, 0.2500) and Hg at (0.1657, 0.3314, 0.7500).

=====

(7)
Gd2HoHg5 | PBE | relaxed

As for the formation energy: -0.432 eV/atom.

The space group is Amm2 (No. 38) and the conventional cell measures 5.1113, 7.4652 and 10.4502 Å, with angles of 90.00, 90.00 and 90.00 degrees. The inequivalent atoms are Gd at (0.0000, 0.0000, 0.0000), Gd at (0.5000, 0.0000, 0.3028), Ho at (0.5000, 0.0000, 0.7415), Hg at (0.0000, 0.0000, 0.5010), Hg at (0.0000, 0.2490, 0.7471) and Hg at (0.5000, 0.2220, 0.0265).

=====

(8)
GdHo2Mg3In2Hg | PBE | relaxed

The value obtained for the final energy is -3.11 eV/atom.

The space group is Amm2 (No. 38) and the conventional cell measures 4.6186, 13.0548 and 7.4853 Å, with angles of 90.00, 90.00 and 90.00 degrees. The inequivalent atoms are Gd at (0.0000, 0.0000, 0.0000), Ho at (0.0000, 0.2107, 0.6319), Mg at (0.5000, 0.0000, 0.6612), Mg at (0.5000, 0.1193, 0.3027), In at (0.5000, 0.1678, 0.9211) and Hg at (0.0000, 0.0000, 0.4251).

=====

(9)
GdInHg | PBE | relaxed

The value obtained for the final energy is -2.63 eV/atom.

The space group is F-43m (No. 216) and the conventional cell measures 7.1498, 7.1498 and 7.1498 Å, with angles of 90.00, 90.00 and 90.00 degrees. The inequivalent atoms are Gd at (0.0000, 0.0000, 0.0000), In at (0.2500, 0.2500, 0.2500) and Hg at (0.2500, 0.2500, 0.7500).

=====

(10)
GdInHg | PBE | relaxed

The value obtained for the final energy is -2.97 eV/atom.

The space group is P-62m (No. 189) and the conventional cell measures 7.5933, 7.5933 and 4.5867 Å, with angles of 90.00, 90.00 and 120.00 degrees. The inequivalent atoms are Gd at (0.0000, 0.4316, 0.0000), In at (0.0000, 0.0000, 0.0000), In at (0.3333, 0.6667, 0.5000) and Hg at (0.0000, 0.7464, 0.5000).

=====

(11)
Gd3Mg3InHg2 | PBE | relaxed

The value obtained for the final energy is -2.82 eV/atom.

The space group is P-62m (No. 189) and the conventional cell measures 7.5222, 7.5222 and 4.6640 Å, with angles of 90.00, 90.00 and 120.00 degrees. The inequivalent atoms are Gd at (0.0000, 0.5704, 0.0000), Mg at (0.0000, 0.2445, 0.5000), In at (0.0000, 0.0000, 0.0000) and Hg at (0.3333, 0.6667, 0.5000).

=====

(12)
Nd2GdMg3In2Hg | PBE | relaxed

The value obtained for the final energy is -3.17 eV/atom.

The space group is Amm2 (No. 38) and the conventional cell measures 4.7015, 13.1792 and 7.6856 Å, with angles of 90.00, 90.00 and 90.00 degrees. The inequivalent atoms are Nd at (0.0000, 0.2086, 0.0000), Gd at (0.0000, 0.0000, 0.3738), Mg at (0.5000, 0.0000, 0.0282), Mg at (0.5000, 0.1196, 0.6705), In at (0.5000, 0.1644, 0.2917) and Hg at (0.0000, 0.0000, 0.7844).